[1]
# TcB2Ir2, relaxed, DFT PBE
# - Spin magnetization: 0.00 μB per atom
# - Energy above the most stable polymorph in this dataset: 1.13 eV per formula unit
# - DFT formation energy: 0.2631 eV/atom
# - Density of states at the Fermi level: 0.752 states/eV per atom
# - Calculated volume: 122.8 Å³ per cell
# - Energy: -8.025 eV per atom
data_TcB2Ir2
_chemical_formula_sum 'Tc2 B4 Ir4'
_cell_length_a 3.788
_cell_length_b 3.788
_cell_length_c 8.558
_cell_angle_alpha 90.00
_cell_angle_beta 90.00
_cell_angle_gamma 90.00
_symmetry_space_group_name_H-M 'I 4/m m m'
_symmetry_Int_Tables_number 139
_symmetry_space_group_name_Hall '-I 4 2'
loop_
_atom_site_label
_atom_site_fract_x
_atom_site_fract_y
_atom_site_fract_z
_atom_site_occupancy
Tc1 0.000 0.000 0.000 1
B1 0.000 0.500 0.250 1
Ir1 0.000 0.000 0.356 1

=====

[2]
# Te2MoBr, relaxed, DFT PBE
# - Formation energy (no corrections): -7.0 kJ/mol of formula units
# - Spin magnetization: 0.10 μB per atom
# - Energy above the most stable polymorph in this dataset: 0.26 eV per formula unit
# - Density of states at the Fermi level: 0.745 states/eV per atom
# - Calculated volume: 244.5 Å³ per cell
# - Energy: -4.715 eV per atom
data_Te2MoBr
_chemical_formula_sum 'Te4 Mo2 Br2'
_cell_length_a 10.298
_cell_length_b 3.458
_cell_length_c 7.629
_cell_angle_alpha 90.00
_cell_angle_beta 115.85
_cell_angle_gamma 90.00
_symmetry_space_group_name_H-M 'C 1 m 1'
_symmetry_Int_Tables_number 8
_symmetry_space_group_name_Hall 'C -2y'
loop_
_atom_site_label
_atom_site_fract_x
_atom_site_fract_y
_atom_site_fract_z
_atom_site_occupancy
Te1 0.000 0.000 0.000 1
Te2 0.207 0.000 0.775 1
Mo1 0.482 0.000 0.710 1
Br1 0.340 0.500 0.427 1

=====

[3]
# Pr2PbO, relaxed, DFT PBE
# - Formation energy (no corrections): -456.2 kJ/mol of formula units
# - Spin magnetization: 0.00 μB per atom
# - Energy above the most stable polymorph in this dataset: 2.16 eV per formula unit
# - Density of states at the Fermi level: 0.470 states/eV per atom
# - Calculated volume: 89.4 Å³ per cell
# - Energy: -5.738 eV per atom
data_Pr2PbO
_chemical_formula_sum 'Pr2 Pb1 O1'
_cell_length_a 3.312
_cell_length_b 3.312
_cell_length_c 8.151
_cell_angle_alpha 90.00
_cell_angle_beta 90.00
_cell_angle_gamma 90.00
_symmetry_space_group_name_H-M 'P 4/m m m'
_symmetry_Int_Tables_number 123
_symmetry_space_group_name_Hall '-P 4 2'
loop_
_atom_site_label
_atom_site_fract_x
_atom_site_fract_y
_atom_site_fract_z
_atom_site_occupancy
Pr1 0.000 0.000 0.195 1
Pb1 0.500 0.500 0.500 1
O1 0.500 0.500 0.000 1

=====

[4]
# KZnAsS3, relaxed, DFT PBE
# - Formation energy (no corrections): -378.6 kJ/mol of formula units
# - Spin magnetization: 0.00 μB per atom
# - Density of states at the Fermi level: 0.000 states/eV per atom
# - Calculated volume: 309.4 Å³ per cell
# - Energy: -3.888 eV per atom
data_KZnAsS3
_chemical_formula_sum 'K2 Zn2 As2 S6'
_cell_length_a 8.900
_cell_length_b 3.847
_cell_length_c 9.367
_cell_angle_alpha 90.00
_cell_angle_beta 105.29
_cell_angle_gamma 90.00
_symmetry_space_group_name_H-M 'P 1 21/m 1'
_symmetry_Int_Tables_number 11
_symmetry_space_group_name_Hall '-P 2yb'
loop_
_atom_site_label
_atom_site_fract_x
_atom_site_fract_y
_atom_site_fract_z
_atom_site_occupancy
K1 0.185 0.250 0.226 1
Zn1 0.098 0.250 0.604 1
As1 0.348 0.750 0.878 1
S1 0.154 0.250 0.866 1
S2 0.184 0.750 0.504 1
S3 0.435 0.750 0.129 1